[1]
Sc2CuAgGe2: relaxed, PBE.

```
Sc2CuAgGe2
1.0
7.524 0.000 0.000
0.000 4.306 0.000
-2.347 0.000 14.143
Sc Cu Ag Ge
8 4 4 8
Direct
0.000 0.000 0.000
0.008 0.500 0.493
0.236 0.000 0.736
0.247 0.500 0.242
0.481 0.000 0.483
0.499 0.500 0.999
0.743 0.000 0.237
0.758 0.500 0.740
0.061 0.000 0.183
0.061 0.500 0.676
0.306 0.500 0.425
0.558 0.500 0.182
0.308 0.000 0.929
0.558 0.000 0.675
0.808 0.000 0.427
0.811 0.500 0.931
0.120 0.500 0.860
0.127 0.000 0.363
0.361 0.500 0.610
0.372 0.000 0.122
0.609 0.500 0.362
0.621 0.000 0.866
0.875 0.500 0.124
0.882 0.000 0.617
```


[2]
ScCuAgGe | OQMD | PBE | relaxed; offset from the most stable computed form = 0.0000 eV per atom
1.0
0.000 3.233 3.233
3.233 0.000 3.233
3.233 3.233 0.000
Sc Cu Ag Ge
1 1 1 1
Direct
0.000 0.000 0.000
0.500 0.500 0.500
0.750 0.750 0.750
0.250 0.250 0.250


Asked for total moment across the records above, the calculation gives 0.0; 0.0 μB per cell in order.
Asked for total energy across the records above, the calculation gives -5.1945; -4.6237 eV/atom in order.
Asked for V across the records above, the calculation gives 19.09; 16.89 Å³/atom in order.